1.
An optimized crystal structure of ZnMo2Os, computed with PBE-GGA.

## Properties
The space group is R3m, No. 160. As for the formation energy from the elements: 68 kJ/mol of formula units.

Lattice parameters (Å, degrees): 9.297 9.297 9.297 17.16 17.16 17.16
Fractional positions:
Zn 0.000 0.000 0.000
Mo 0.249 0.249 0.249
Mo 0.494 0.494 0.494
Os 0.749 0.749 0.749

=====

2.
An optimized crystal structure of Rb2NiHCl6, computed with PBE-GGA.

## Properties
The space group is I4/mmm, No. 139.

Lattice parameters (Å, degrees): 7.046 7.046 7.046 114.61 114.61 99.62
Fractional positions:
Rb 0.250 0.750 0.500
Rb 0.750 0.250 0.500
Ni 0.000 0.000 0.000
H 0.500 0.500 0.000
Cl 0.203 0.203 0.407
Cl 0.203 0.797 0.000
Cl 0.328 0.328 0.000
Cl 0.672 0.672 0.000
Cl 0.797 0.203 0.000
Cl 0.797 0.797 0.593

=====

3.
An optimized crystal structure of TbScTcAu, computed with PBE-GGA.

## Properties
The space group is F-43m, No. 216. As for the formation energy from the elements: -149 kJ/mol of formula units.

Lattice parameters (Å, degrees): 4.830 4.830 4.830 60.00 60.00 60.00
Fractional positions:
Tb 0.000 0.000 0.000
Sc 0.500 0.500 0.500
Tc 0.250 0.250 0.250
Au 0.750 0.750 0.750

=====

4.
An optimized crystal structure of W2SeS, computed with PBE-GGA.

## Properties
The space group is I-42d, No. 122. The value obtained for the formation energy (no corrections) is 343.4 meV per atom. The calculation puts the excess energy over the best structure of this formula in the dataset at 0 meV/atom.

Lattice parameters (Å, degrees): 8.250 8.250 8.250 149.52 149.52 43.64
Fractional positions:
W 0.085 0.625 0.960
W 0.375 0.335 0.460
W 0.665 0.125 0.040
W 0.875 0.915 0.540
Se 0.250 0.750 0.500
Se 0.500 0.500 0.000
S 0.000 0.000 0.000
S 0.750 0.250 0.500

=====

5.
An optimized crystal structure of KNa2H, computed with PBE-GGA.

## Properties
The space group is R-3m, No. 166. The calculation puts the excess energy over the best structure of this formula in the dataset at 26 meV/atom.

Lattice parameters (Å, degrees): 10.636 10.636 10.636 20.30 20.30 20.30
Fractional positions:
K 0.000 0.000 0.000
Na 0.121 0.121 0.121
Na 0.879 0.879 0.879
H 0.500 0.500 0.500

=====

6.
An optimized crystal structure of Th2IrRh, computed with PBE-GGA.

## Properties
The space group is I4_1/amd, No. 141. As for the formation energy from the elements: -363 kJ/mol of formula units.

Lattice parameters (Å, degrees): 7.146 7.146 7.146 132.01 132.01 70.22
Fractional positions:
Th 0.124 0.374 0.750
Th 0.374 0.124 0.250
Th 0.626 0.876 0.750
Th 0.876 0.626 0.250
Ir 0.125 0.875 0.250
Ir 0.875 0.125 0.750
Rh 0.375 0.625 0.750
Rh 0.625 0.375 0.250

=====

7.
An optimized crystal structure of TiAs2H, computed with PBE-GGA.

## Properties
The space group is Fm-3m, No. 225. The calculation puts the excess energy over the best structure of this formula in the dataset at 325 meV/atom.

Lattice parameters (Å, degrees): 4.401 4.401 4.401 60.00 60.00 60.00
Fractional positions:
Ti 0.000 0.000 0.000
As 0.250 0.250 0.250
As 0.750 0.750 0.750
H 0.500 0.500 0.500

=====

8.
An optimized crystal structure of RbScSn2, computed with PBE-GGA.

## Properties
The space group is P4/mmm, No. 123. As for the formation energy from the elements: -136 kJ/mol of formula units. The calculation puts the excess energy over the best structure of this formula in the dataset at 0 meV/atom.

Lattice parameters (Å, degrees): 3.904 3.904 8.209 90.00 90.00 90.00
Fractional positions:
Rb 0.000 0.000 0.000
Sc 0.000 0.000 0.500
Sn 0.500 0.500 0.324
Sn 0.500 0.500 0.676

=====

Number 1: energy -8.3661 eV/atom. Number 2: energy -3.2758 eV/atom. Number 3: energy -6.5376 eV/atom. Number 4: energy -8.0362 eV/atom. Number 5: energy -1.6884 eV/atom. Number 6: energy -8.7043 eV/atom. Number 7: energy -4.8353 eV/atom. Number 8: energy -4.1782 eV/atom.